Entry 1:
# Ca2SiTc

A relaxed structure of Ca2SiTc (PBE, the Alexandria database).

Summary:
- Calculated volume: 112 Å³/f.u.
- Total magnetic moment: 0.0 μB per formula unit
- N(E_F): 3.54 states/eV/f.u.
- Energy relative to the elements, uncorrected: -0.8 eV per formula unit

```
Ca2SiTc
1.0
2.064 1.192 7.611
-2.064 1.192 7.611
0.000 -2.383 7.611
Ca Si Tc
2 1 1
direct
0.000 0.000 0.000
0.175 0.175 0.175
0.754 0.754 0.754
0.421 0.421 0.421
```

***

Entry 2:
# CaSi3Tc3

A relaxed structure of CaSi3Tc3 (PBE, the Alexandria database).

Summary:
- Calculated volume: 145 Å³/f.u.
- Total magnetic moment: 2.8 μB per formula unit
- N(E_F): 2.86 states/eV/f.u.
- Energy relative to the elements, uncorrected: 0.9 eV per formula unit

```
CaSi3Tc3
1.0
6.614 0.000 0.000
0.000 6.614 0.000
0.000 0.000 6.614
Ca Si Tc
2 6 6
direct
0.000 0.000 0.000
0.500 0.500 0.500
0.000 0.250 0.500
0.000 0.750 0.500
0.250 0.500 0.000
0.500 0.000 0.250
0.500 0.000 0.750
0.750 0.500 0.000
0.000 0.500 0.250
0.000 0.500 0.750
0.250 0.000 0.500
0.500 0.250 0.000
0.500 0.750 0.000
0.750 0.000 0.500
```

***

Entry 3:
# CaSiTc2

A relaxed structure of CaSiTc2 (PBE, the Alexandria database).

Summary:
- Calculated volume: 68 Å³/f.u.
- Total magnetic moment: 0.0 μB per formula unit
- N(E_F): 2.94 states/eV/f.u.
- Energy relative to the elements, uncorrected: 1.1 eV per formula unit

```
CaSiTc2
1.0
1.529 0.883 8.387
-1.529 0.883 8.387
0.000 -1.765 8.387
Ca Si Tc
1 1 2
direct
0.000 0.000 0.000
0.500 0.500 0.500
0.235 0.235 0.235
0.765 0.765 0.765
```

***

Entry 4:
# CaSiTc2

A relaxed structure of CaSiTc2 (PBE, the Alexandria database).

Summary:
- Calculated volume: 70 Å³/f.u.
- Total magnetic moment: 0.0 μB per formula unit
- N(E_F): 4.34 states/eV/f.u.
- Energy relative to the elements, uncorrected: 0.4 eV per formula unit

```
CaSiTc2
1.0
3.211 0.000 0.000
0.000 3.211 0.000
0.000 0.000 6.795
Ca Si Tc
1 1 2
direct
0.000 0.000 0.000
0.000 0.000 0.500
0.500 0.500 0.322
0.500 0.500 0.678
```

***

Q: N(E_F) of number 1 (Ca2SiTc)?
A: 3.54 states/eV/f.u.